## P
This record from Alexandria via LeMat-Bulk describes a relaxed Tb3Y5Ho4 crystal. The functional is PBE.

## Properties
The crystal system is triclinic. The size of the total moment is 0.00 μB/f.u.

CIF file:
```
data_Tb3Y5Ho4
_space_group_name_H-M_alt 'P -1'
_space_group_IT_number 2
_cell_length_a 6.151
_cell_length_b 7.110
_cell_length_c 8.696
_cell_angle_alpha 90.01
_cell_angle_beta 90.08
_cell_angle_gamma 90.12
loop_
_space_group_symop_operation_xyz
'x,y,z'
'-x,-y,-z'
loop_
_atom_site_label
_atom_site_type_symbol
_atom_site_fract_x
_atom_site_fract_y
_atom_site_fract_z
Tb1 Tb 0.000 0.000 0.000
Tb2 Tb 0.166 0.749 0.667
Y1 Y 0.000 0.500 0.000
Y2 Y 0.332 0.000 0.334
Y3 Y 0.500 0.250 0.000
Ho1 Ho 0.167 0.251 0.667
Ho2 Ho 0.334 0.500 0.335
```

=====

## Q
This record from Alexandria via LeMat-Bulk describes a relaxed Tb3Y5Ho4 crystal. The functional is PBE.

## Properties
The crystal system is monoclinic. The size of the total moment is 0.48 μB/f.u.

CIF file:
```
data_Tb3Y5Ho4
_space_group_name_H-M_alt 'C 1 2/m 1'
_space_group_IT_number 12
_cell_length_a 16.065
_cell_length_b 5.864
_cell_length_c 9.241
_cell_angle_alpha 90.00
_cell_angle_beta 116.40
_cell_angle_gamma 90.00
loop_
_space_group_symop_operation_xyz
'x,y,z'
'-x,-y,-z'
'-x,y,-z'
'x,-y,z'
'x+1/2,y+1/2,z'
'-x+1/2,-y+1/2,-z'
'-x+1/2,y+1/2,-z'
'x+1/2,-y+1/2,z'
loop_
_atom_site_label
_atom_site_type_symbol
_atom_site_fract_x
_atom_site_fract_y
_atom_site_fract_z
Tb1 Tb 0.000 0.000 0.000
Tb2 Tb 0.208 0.500 0.230
Y1 Y 0.000 0.500 0.000
Y2 Y 0.075 0.000 0.702
Y3 Y 0.173 0.000 0.387
Ho1 Ho 0.081 0.500 0.441
Ho2 Ho 0.214 0.500 0.879
```

=====

The energy of each structure relative to the most stable one, in eV/atom, is as follows: P 0.000; Q 0.219.

=====

## P
This record from Alexandria via LeMat-Bulk describes a relaxed Tb7YHo2 crystal. The functional is PBE.

## Properties
The crystal system is triclinic. The size of the total moment is 0.00 μB/f.u.

CIF file:
```
data_Tb7YHo2
_space_group_name_H-M_alt 'P -1'
_space_group_IT_number 2
_cell_length_a 6.154
_cell_length_b 6.162
_cell_length_c 9.397
_cell_angle_alpha 102.59
_cell_angle_beta 109.03
_cell_angle_gamma 99.57
loop_
_space_group_symop_operation_xyz
'x,y,z'
'-x,-y,-z'
loop_
_atom_site_label
_atom_site_type_symbol
_atom_site_fract_x
_atom_site_fract_y
_atom_site_fract_z
Tb1 Tb 0.000 0.000 0.000
Tb2 Tb 0.200 0.000 0.399
Tb3 Tb 0.200 0.500 0.901
Tb4 Tb 0.400 0.500 0.300
Y1 Y 0.000 0.500 0.500
Ho1 Ho 0.400 0.001 0.800
```

=====

## Q
This record from Alexandria via LeMat-Bulk describes a relaxed Tb7YHo2 crystal. The functional is PBE.

## Properties
The crystal system is orthorhombic. The size of the total moment is 0.00 μB/f.u.

CIF file:
```
data_Tb7YHo2
_space_group_name_H-M_alt 'C m m m'
_space_group_IT_number 65
_space_group_name_Hall '-C 2 2'
_cell_length_a 8.703
_cell_length_b 16.770
_cell_length_c 5.385
_cell_angle_alpha 90.00
_cell_angle_beta 90.00
_cell_angle_gamma 90.00
loop_
_atom_site_label
_atom_site_type_symbol
_atom_site_fract_x
_atom_site_fract_y
_atom_site_fract_z
Tb1 Tb 0.000 0.000 0.000
Tb2 Tb 0.000 0.297 0.500
Tb3 Tb 0.178 0.389 0.000
Y1 Y 0.000 0.500 0.500
Ho1 Ho 0.000 0.203 0.000
```

=====

The energy of each structure relative to the most stable one, in eV/atom, is as follows: P 0.000; Q 0.668.

=====

## P
This record from Alexandria via LeMat-Bulk describes a relaxed Tb5YHo crystal. The functional is PBE.

## Properties
The crystal system is orthorhombic. The size of the total moment is 0.00 μB/f.u.

CIF file:
```
data_Tb5YHo
_space_group_name_H-M_alt 'I m m m'
_space_group_IT_number 71
_space_group_name_Hall '-I 2 2'
_cell_length_a 5.803
_cell_length_b 8.654
_cell_length_c 11.967
_cell_angle_alpha 90.00
_cell_angle_beta 90.00
_cell_angle_gamma 90.00
loop_
_atom_site_label
_atom_site_type_symbol
_atom_site_fract_x
_atom_site_fract_y
_atom_site_fract_z
Tb1 Tb 0.000 0.000 0.000
Tb2 Tb 0.000 0.178 0.500
Tb3 Tb 0.000 0.500 0.255
Y1 Y 0.000 0.500 0.000
Ho1 Ho 0.000 0.500 0.500
```

=====

## Q
This record from Alexandria via LeMat-Bulk describes a relaxed Tb5YHo crystal. The functional is PBE.

## Properties
The crystal system is monoclinic. The size of the total moment is 0.00 μB/f.u.

CIF file:
```
data_Tb5YHo
_space_group_name_H-M_alt 'C 1 2/c 1'
_space_group_IT_number 15
_cell_length_a 11.724
_cell_length_b 6.734
_cell_length_c 12.223
_cell_angle_alpha 90.00
_cell_angle_beta 110.50
_cell_angle_gamma 90.00
loop_
_space_group_symop_operation_xyz
'x,y,z'
'-x,-y,-z'
'-x,y,-z+1/2'
'x,-y,z+1/2'
'x+1/2,y+1/2,z'
'-x+1/2,-y+1/2,-z'
'-x+1/2,y+1/2,-z+1/2'
'x+1/2,-y+1/2,z+1/2'
loop_
_atom_site_label
_atom_site_type_symbol
_atom_site_fract_x
_atom_site_fract_y
_atom_site_fract_z
Tb1 Tb 0.000 0.082 0.250
Tb2 Tb 0.079 0.237 0.001
Tb3 Tb 0.219 0.136 0.746
Y1 Y 0.250 0.250 0.500
Ho1 Ho 0.000 0.473 0.750
```

=====

The energy of each structure relative to the most stable one, in eV/atom, is as follows: P 0.914; Q 0.000.

=====

## P
This record from Alexandria via LeMat-Bulk describes a relaxed TbY3Ho2 crystal. The functional is PBE.

## Properties
The crystal system is monoclinic. The size of the total moment is 0.00 μB/f.u.

CIF file:
```
data_TbY3Ho2
_space_group_name_H-M_alt 'C 1 2/m 1'
_space_group_IT_number 12
_cell_length_a 23.097
_cell_length_b 3.497
_cell_length_c 10.191
_cell_angle_alpha 90.00
_cell_angle_beta 108.33
_cell_angle_gamma 90.00
loop_
_space_group_symop_operation_xyz
'x,y,z'
'-x,-y,-z'
'-x,y,-z'
'x,-y,z'
'x+1/2,y+1/2,z'
'-x+1/2,-y+1/2,-z'
'-x+1/2,y+1/2,-z'
'x+1/2,-y+1/2,z'
loop_
_atom_site_label
_atom_site_type_symbol
_atom_site_fract_x
_atom_site_fract_y
_atom_site_fract_z
Tb1 Tb 0.187 0.000 0.041
Y1 Y 0.059 0.000 0.440
Y2 Y 0.069 0.500 0.771
Y3 Y 0.196 0.000 0.715
Ho1 Ho 0.071 0.500 0.137
Ho2 Ho 0.193 0.000 0.373
```

=====

## Q
This record from Alexandria via LeMat-Bulk describes a relaxed TbY3Ho2 crystal. The functional is PBE.

## Properties
The crystal system is monoclinic. The size of the total moment is 0.00 μB/f.u.

CIF file:
```
data_TbY3Ho2
_space_group_name_H-M_alt 'C 1 2/c 1'
_space_group_IT_number 15
_cell_length_a 17.421
_cell_length_b 7.108
_cell_length_c 6.149
_cell_angle_alpha 90.00
_cell_angle_beta 90.04
_cell_angle_gamma 90.00
loop_
_space_group_symop_operation_xyz
'x,y,z'
'-x,-y,-z'
'-x,y,-z+1/2'
'x,-y,z+1/2'
'x+1/2,y+1/2,z'
'-x+1/2,-y+1/2,-z'
'-x+1/2,y+1/2,-z+1/2'
'x+1/2,-y+1/2,z+1/2'
loop_
_atom_site_label
_atom_site_type_symbol
_atom_site_fract_x
_atom_site_fract_y
_atom_site_fract_z
Tb1 Tb 0.000 0.125 0.250
Y1 Y 0.000 0.375 0.750
Y2 Y 0.167 0.125 0.917
Ho1 Ho 0.167 0.375 0.417
```

=====

The energy of each structure relative to the most stable one, in eV/atom, is as follows: P 0.099; Q 0.000.

=====

## P
This record from Alexandria via LeMat-Bulk describes a relaxed Tb2Y4Ho5 crystal. The functional is PBE.

## Properties
The crystal system is monoclinic. The size of the total moment is 0.00 μB/f.u.

CIF file:
```
data_Tb2Y4Ho5
_space_group_name_H-M_alt 'C 1 2/m 1'
_space_group_IT_number 12
_cell_length_a 23.250
_cell_length_b 3.538
_cell_length_c 8.664
_cell_angle_alpha 90.00
_cell_angle_beta 93.93
_cell_angle_gamma 90.00
loop_
_space_group_symop_operation_xyz
'x,y,z'
'-x,-y,-z'
'-x,y,-z'
'x,-y,z'
'x+1/2,y+1/2,z'
'-x+1/2,-y+1/2,-z'
'-x+1/2,y+1/2,-z'
'x+1/2,-y+1/2,z'
loop_
_atom_site_label
_atom_site_type_symbol
_atom_site_fract_x
_atom_site_fract_y
_atom_site_fract_z
Tb1 Tb 0.134 0.000 0.133
Y1 Y 0.083 0.000 0.717
Y2 Y 0.185 0.500 0.487
Ho1 Ho 0.000 0.500 0.000
Ho2 Ho 0.046 0.500 0.370
Ho3 Ho 0.233 0.000 0.831
```

=====

## Q
This record from Alexandria via LeMat-Bulk describes a relaxed Tb2Y4Ho5 crystal. The functional is PBE.

## Properties
The crystal system is monoclinic. The size of the total moment is 0.00 μB/f.u.

CIF file:
```
data_Tb2Y4Ho5
_space_group_name_H-M_alt 'C 1 2/m 1'
_space_group_IT_number 12
_cell_length_a 11.050
_cell_length_b 7.295
_cell_length_c 9.247
_cell_angle_alpha 90.00
_cell_angle_beta 107.56
_cell_angle_gamma 90.00
loop_
_space_group_symop_operation_xyz
'x,y,z'
'-x,-y,-z'
'-x,y,-z'
'x,-y,z'
'x+1/2,y+1/2,z'
'-x+1/2,-y+1/2,-z'
'-x+1/2,y+1/2,-z'
'x+1/2,-y+1/2,z'
loop_
_atom_site_label
_atom_site_type_symbol
_atom_site_fract_x
_atom_site_fract_y
_atom_site_fract_z
Tb1 Tb 0.146 0.000 0.122
Y1 Y 0.172 0.500 0.124
Y2 Y 0.179 0.500 0.500
Ho1 Ho 0.000 0.000 0.500
Ho2 Ho 0.067 0.278 0.781
```

=====

The energy of each structure relative to the most stable one, in eV/atom, is as follows: P 0.000; Q 0.051.